Below is a relaxed structure of CeLuCdTc, with properties calculated at the PBE-GGA level.

Geometry as CIF:
```
data_CeLuCdTc
_chemical_formula_sum 'Ce4 Lu4 Cd4 Tc4'
_symmetry_space_group_name_H-M 'F -4 3 m'
_symmetry_Int_Tables_number 216
_symmetry_space_group_name_Hall 'F -4 2 3'
_cell_length_a 7.1196
_cell_length_b 7.1196
_cell_length_c 7.1196
_cell_angle_alpha 90.00
_cell_angle_beta 90.00
_cell_angle_gamma 90.00
loop_
_atom_site_label
_atom_site_type_symbol
_atom_site_fract_x
_atom_site_fract_y
_atom_site_fract_z
Ce1 Ce 0.0000 0.0000 0.0000
Lu1 Lu 0.0000 0.0000 0.5000
Cd1 Cd 0.2500 0.2500 0.2500
Tc1 Tc 0.2500 0.2500 0.7500
```

ρ	9.672	g/cm3
calculated total energy	-5.500	eV per atom
formation energy	-0.066	eV per atom
Fermi-level density of states	1.3067	states/eV/atom